Entry i
# Ni3Ir4 | Alexandria | PBE | relaxed
# total moment	2.66	μB per formula unit
# Fermi-level density of states	1.595	states/eV/atom
data_Ni3Ir4
_space_group_name_H-M_alt 'P 6/m m m'
_space_group_IT_number 191
_space_group_name_Hall '-P 6 2'
_cell_length_a 4.6083
_cell_length_b 4.6083
_cell_length_c 5.0163
_cell_angle_alpha 90.00
_cell_angle_beta 90.00
_cell_angle_gamma 120.00
loop_
_atom_site_label
_atom_site_type_symbol
_atom_site_fract_x
_atom_site_fract_y
_atom_site_fract_z
Ni1 Ni 0.0000 0.5000 0.0000
Ir1 Ir 0.0000 0.0000 0.2543
Ir2 Ir 0.3333 0.6667 0.5000

Entry ii
# Ni3Ir4 | Alexandria | PBE | relaxed
# total moment	0.00	μB per formula unit
# Fermi-level density of states	1.799	states/eV/atom
data_Ni3Ir4
_space_group_name_H-M_alt 'I 4/m m m'
_space_group_IT_number 139
_space_group_name_Hall '-I 4 2'
_cell_length_a 3.201
_cell_length_b 3.201
_cell_length_c 18.220
_cell_angle_alpha 90.00
_cell_angle_beta 90.00
_cell_angle_gamma 90.00
loop_
_atom_site_label
_atom_site_type_symbol
_atom_site_fract_x
_atom_site_fract_y
_atom_site_fract_z
Ni1 Ni 0.000 0.000 0.000
Ni2 Ni 0.000 0.000 0.283
Ir1 Ir 0.000 0.000 0.146
Ir2 Ir 0.000 0.000 0.428

From most stable to least stable, the computed energies give entry ii, entry i.

Entry i
# Ni4Ir5 | Alexandria | PBE | relaxed
# total moment	2.70	μB per formula unit
# Fermi-level density of states	1.471	states/eV/atom
data_Ni4Ir5
_space_group_name_H-M_alt 'I 4/m m m'
_space_group_IT_number 139
_space_group_name_Hall '-I 4 2'
_cell_length_a 7.919
_cell_length_b 7.919
_cell_length_c 3.784
_cell_angle_alpha 90.00
_cell_angle_beta 90.00
_cell_angle_gamma 90.00
loop_
_atom_site_label
_atom_site_type_symbol
_atom_site_fract_x
_atom_site_fract_y
_atom_site_fract_z
Ni1 Ni 0.000 0.334 0.000
Ir1 Ir 0.000 0.000 0.000
Ir2 Ir 0.168 0.168 0.500

Entry ii
# Ni4Ir5 | Alexandria | PBE | relaxed
# total moment	0.01	μB per formula unit
# Fermi-level density of states	1.727	states/eV/atom
data_Ni4Ir5
_space_group_name_H-M_alt 'P 63/m c m'
_space_group_IT_number 193
_space_group_name_Hall '-P 6c 2'
_cell_length_a 7.2925
_cell_length_b 7.2925
_cell_length_c 5.1578
_cell_angle_alpha 90.00
_cell_angle_beta 90.00
_cell_angle_gamma 120.00
loop_
_atom_site_label
_atom_site_type_symbol
_atom_site_fract_x
_atom_site_fract_y
_atom_site_fract_z
Ni1 Ni 0.0000 0.0000 0.0000
Ni2 Ni 0.0000 0.3474 0.2500
Ir1 Ir 0.0000 0.3164 0.7500
Ir2 Ir 0.3333 0.6667 0.0000

From most stable to least stable, the computed energies give entry i, entry ii.

Entry i
# NiIr4 | Alexandria | PBE | relaxed
# total moment	0.00	μB per formula unit
# Fermi-level density of states	1.454	states/eV/atom
data_NiIr4
_space_group_name_H-M_alt 'I m -3 m'
_space_group_IT_number 229
_space_group_name_Hall '-I 4 2 3'
_cell_length_a 5.477
_cell_length_b 5.477
_cell_length_c 5.477
_cell_angle_alpha 90.00
_cell_angle_beta 90.00
_cell_angle_gamma 90.00
loop_
_atom_site_label
_atom_site_type_symbol
_atom_site_fract_x
_atom_site_fract_y
_atom_site_fract_z
Ni1 Ni 0.000 0.000 0.000
Ir1 Ir 0.250 0.250 0.250

Entry ii
# NiIr4 | Alexandria | PBE | relaxed
# total moment	0.00	μB per formula unit
# Fermi-level density of states	1.381	states/eV/atom
data_NiIr4
_space_group_name_H-M_alt 'I 4/m'
_space_group_IT_number 87
_space_group_name_Hall '-I 4'
_cell_length_a 6.037
_cell_length_b 6.037
_cell_length_c 3.817
_cell_angle_alpha 90.00
_cell_angle_beta 90.00
_cell_angle_gamma 90.00
loop_
_atom_site_label
_atom_site_type_symbol
_atom_site_fract_x
_atom_site_fract_y
_atom_site_fract_z
Ni1 Ni 0.000 0.000 0.000
Ir1 Ir 0.102 0.299 0.500

Entry iii
# NiIr4 | Alexandria | PBE | relaxed
# total moment	0.00	μB per formula unit
# Fermi-level density of states	1.337	states/eV/atom
data_NiIr4
_space_group_name_H-M_alt 'C 1 2/m 1'
_space_group_IT_number 12
_space_group_name_Hall '-C 2y'
_cell_length_a 11.847
_cell_length_b 4.378
_cell_length_c 2.739
_cell_angle_alpha 90.00
_cell_angle_beta 90.10
_cell_angle_gamma 90.00
loop_
_atom_site_label
_atom_site_type_symbol
_atom_site_fract_x
_atom_site_fract_y
_atom_site_fract_z
Ni1 Ni 0.000 0.000 0.000
Ir1 Ir 0.113 0.500 0.999
Ir2 Ir 0.183 0.000 0.500

Entry iv
# NiIr4 | Alexandria | PBE | relaxed
# total moment	0.06	μB per formula unit
# Fermi-level density of states	1.028	states/eV/atom
data_NiIr4
_space_group_name_H-M_alt 'I 4/m m m'
_space_group_IT_number 139
_space_group_name_Hall '-I 4 2'
_cell_length_a 3.585
_cell_length_b 3.585
_cell_length_c 12.465
_cell_angle_alpha 90.00
_cell_angle_beta 90.00
_cell_angle_gamma 90.00
loop_
_atom_site_label
_atom_site_type_symbol
_atom_site_fract_x
_atom_site_fract_y
_atom_site_fract_z
Ni1 Ni 0.000 0.000 0.000
Ir1 Ir 0.000 0.000 0.403
Ir2 Ir 0.000 0.500 0.250

From most stable to least stable, the computed energies give entry ii, entry iii, entry iv, entry i.

Entry i
# NiIr4 | Alexandria | PBE | relaxed
# total moment	3.13	μB per formula unit
# Fermi-level density of states	1.556	states/eV/atom
data_NiIr4
_space_group_name_H-M_alt 'P m -3 m'
_space_group_IT_number 221
_space_group_name_Hall '-P 4 2 3'
_cell_length_a 4.389
_cell_length_b 4.389
_cell_length_c 4.389
_cell_angle_alpha 90.00
_cell_angle_beta 90.00
_cell_angle_gamma 90.00
loop_
_atom_site_label
_atom_site_type_symbol
_atom_site_fract_x
_atom_site_fract_y
_atom_site_fract_z
Ni1 Ni 0.000 0.000 0.000
Ir1 Ir 0.000 0.000 0.500
Ir2 Ir 0.500 0.500 0.500

Entry ii
# NiIr4 | Alexandria | PBE | relaxed
# total moment	0.27	μB per formula unit
# Fermi-level density of states	1.275	states/eV/atom
data_NiIr4
_space_group_name_H-M_alt 'R -3 m'
_space_group_IT_number 166
_space_group_name_Hall '-R 3 2"'
_cell_length_a 2.7200
_cell_length_b 2.7200
_cell_length_c 32.6310
_cell_angle_alpha 90.00
_cell_angle_beta 90.00
_cell_angle_gamma 120.00
loop_
_atom_site_label
_atom_site_type_symbol
_atom_site_fract_x
_atom_site_fract_y
_atom_site_fract_z
Ni1 Ni 0.0000 0.0000 0.0000
Ir1 Ir 0.0000 0.0000 0.2010
Ir2 Ir 0.0000 0.0000 0.3969

From most stable to least stable, the computed energies give entry ii, entry i.

Entry i
# Ni13Ir2 | Alexandria | PBE | relaxed
# total moment	8.78	μB per formula unit
# Fermi-level density of states	1.424	states/eV/atom
data_Ni13Ir2
_space_group_name_H-M_alt 'P -1'
_space_group_IT_number 2
_space_group_name_Hall '-P 1'
_cell_length_a 4.363
_cell_length_b 6.613
_cell_length_c 6.643
_cell_angle_alpha 73.22
_cell_angle_beta 76.86
_cell_angle_gamma 89.23
loop_
_atom_site_label
_atom_site_type_symbol
_atom_site_fract_x
_atom_site_fract_y
_atom_site_fract_z
Ni1 Ni 0.000 0.000 0.000
Ni2 Ni 0.064 0.124 0.314
Ni3 Ni 0.188 0.374 0.942
Ni4 Ni 0.250 0.504 0.246
Ni5 Ni 0.314 0.631 0.565
Ni6 Ni 0.377 0.753 0.869
Ni7 Ni 0.438 0.879 0.187
Ir1 Ir 0.132 0.245 0.623

Entry ii
# Ni13Ir2 | Alexandria | PBE | relaxed
# total moment	10.67	μB per formula unit
# Fermi-level density of states	2.057	states/eV/atom
data_Ni13Ir2
_space_group_name_H-M_alt 'R -3 m'
_space_group_IT_number 166
_space_group_name_Hall '-R 3 2"'
_cell_length_a 6.5679
_cell_length_b 6.5679
_cell_length_c 17.4221
_cell_angle_alpha 90.00
_cell_angle_beta 90.00
_cell_angle_gamma 120.00
loop_
_atom_site_label
_atom_site_type_symbol
_atom_site_fract_x
_atom_site_fract_y
_atom_site_fract_z
Ni1 Ni 0.0000 0.0000 0.0000
Ni2 Ni 0.0860 0.5430 0.3105
Ni3 Ni 0.0860 0.5430 0.5597
Ir1 Ir 0.0000 0.0000 0.2311

From most stable to least stable, the computed energies give entry i, entry ii.

Entry i
# Ni8Ir | Alexandria | PBE | relaxed
# total moment	5.10	μB per formula unit
# Fermi-level density of states	1.851	states/eV/atom
data_Ni8Ir
_space_group_name_H-M_alt 'I 4/m m m'
_space_group_IT_number 139
_space_group_name_Hall '-I 4 2'
_cell_length_a 8.886
_cell_length_b 8.886
_cell_length_c 2.621
_cell_angle_alpha 90.00
_cell_angle_beta 90.00
_cell_angle_gamma 90.00
loop_
_atom_site_label
_atom_site_type_symbol
_atom_site_fract_x
_atom_site_fract_y
_atom_site_fract_z
Ni1 Ni 0.000 0.334 0.000
Ni2 Ni 0.170 0.170 0.500
Ir1 Ir 0.000 0.000 0.000

Entry ii
# Ni8Ir | Alexandria | PBE | relaxed
# total moment	5.80	μB per formula unit
# Fermi-level density of states	1.363	states/eV/atom
data_Ni8Ir
_space_group_name_H-M_alt 'I 4/m m m'
_space_group_IT_number 139
_space_group_name_Hall '-I 4 2'
_cell_length_a 7.565
_cell_length_b 7.565
_cell_length_c 3.576
_cell_angle_alpha 90.00
_cell_angle_beta 90.00
_cell_angle_gamma 90.00
loop_
_atom_site_label
_atom_site_type_symbol
_atom_site_fract_x
_atom_site_fract_y
_atom_site_fract_z
Ni1 Ni 0.000 0.336 0.000
Ni2 Ni 0.168 0.168 0.500
Ir1 Ir 0.000 0.000 0.000

From most stable to least stable, the computed energies give entry ii, entry i.

Entry i
# NpNiIr2 | Alexandria | PBE | relaxed
# total moment	2.69	μB per formula unit
# Fermi-level density of states	1.483	states/eV/atom
data_NpNiIr2
_space_group_name_H-M_alt 'R -3 m'
_space_group_IT_number 166
_space_group_name_Hall '-R 3 2"'
_cell_length_a 4.5161
_cell_length_b 4.5161
_cell_length_c 11.0943
_cell_angle_alpha 90.00
_cell_angle_beta 90.00
_cell_angle_gamma 120.00
loop_
_atom_site_label
_atom_site_type_symbol
_atom_site_fract_x
_atom_site_fract_y
_atom_site_fract_z
Np1 Np 0.0000 0.0000 0.0000
Ni1 Ni 0.0000 0.0000 0.5000
Ir1 Ir 0.0000 0.0000 0.2454

Entry ii
# NpNiIr2 | Alexandria | PBE | relaxed
# total moment	1.60	μB per formula unit
# Fermi-level density of states	2.307	states/eV/atom
data_NpNiIr2
_space_group_name_H-M_alt 'P 4/m m m'
_space_group_IT_number 123
_space_group_name_Hall '-P 4 2'
_cell_length_a 4.036
_cell_length_b 4.036
_cell_length_c 3.895
_cell_angle_alpha 90.00
_cell_angle_beta 90.00
_cell_angle_gamma 90.00
loop_
_atom_site_label
_atom_site_type_symbol
_atom_site_fract_x
_atom_site_fract_y
_atom_site_fract_z
Np1 Np 0.000 0.000 0.000
Ni1 Ni 0.500 0.500 0.000
Ir1 Ir 0.000 0.500 0.500

From most stable to least stable, the computed energies give entry ii, entry i.